Computed, not measured: a relaxed structure of BaCuI2 at the PBE-GGA level of DFT.

a b c (Å): 5.856 5.856 5.856
angles (deg): 60.00 60.00 60.00
Fractional coordinates of all 4 atoms:
Ba  0.000  0.000  0.000
Cu  0.500  0.500  0.500
I  0.250  0.250  0.250
I  0.750  0.750  0.750

E_form (uncorrected), meV per atom: -638
Relative energy among the computed polymorphs, eV/f.u.: 0.00
Space group: Fm-3m, No. 225